Entry 1:
This record from Alexandria via LeMat-Bulk describes a relaxed structure of CsSbTe2Cl. The functional is PBE.

Calculated values
relative energy among the computed polymorphs: 0 meV/atom
total magnetization: 0.90 Bohr magnetons per cell
space group: P4/mmm

```
data_CsSbTe2Cl
_chemical_formula_sum 'Cs1 Sb1 Te2 Cl1'
_cell_length_a 5.946
_cell_length_b 5.946
_cell_length_c 5.367
_cell_angle_alpha 90.00
_cell_angle_beta 90.00
_cell_angle_gamma 90.00
_space_group_name_H-M_alt 'P 1'
_space_group_IT_number 1
loop_
_space_group_symop_operation_xyz
'x,y,z'
loop_
_atom_site_label
_atom_site_fract_x
_atom_site_fract_y
_atom_site_fract_z
_atom_site_occupancy
Cs1 0.500 0.500 0.500 1
Cl1 0.000 0.000 0.000 1
Te1 0.000 0.500 0.000 1
Sb1 0.000 0.000 0.500 1
Te2 0.500 0.000 0.000 1
```

---

Entry 2:
This record from Alexandria via LeMat-Bulk describes a relaxed structure of Ac2PaMoN6. The functional is PBE.

Calculated values
total magnetization: 0.00 Bohr magnetons per cell
space group: P4/mmm
E: -8.7821 eV/atom

```
data_Ac2PaMoN6
_chemical_formula_sum 'Ac2 Pa1 Mo1 N6'
_cell_length_a 4.208
_cell_length_b 4.208
_cell_length_c 8.614
_cell_angle_alpha 90.00
_cell_angle_beta 90.00
_cell_angle_gamma 90.00
_space_group_name_H-M_alt 'P 1'
_space_group_IT_number 1
loop_
_space_group_symop_operation_xyz
'x,y,z'
loop_
_atom_site_label
_atom_site_fract_x
_atom_site_fract_y
_atom_site_fract_z
_atom_site_occupancy
N1 0.500 0.500 0.731 1
N2 0.000 0.500 0.000 1
Pa1 0.500 0.500 0.000 1
Ac1 0.000 0.000 0.724 1
N3 0.500 0.000 0.500 1
N4 0.500 0.500 0.269 1
N5 0.000 0.500 0.500 1
N6 0.500 0.000 0.000 1
Mo1 0.500 0.500 0.500 1
Ac2 0.000 0.000 0.276 1
```

---

Entry 3:
This record from Alexandria via LeMat-Bulk describes a relaxed structure of Ga6Ni5Pd. The functional is PBE.

Calculated values
total magnetization: 0.00 Bohr magnetons per cell
space group: C2/m
formation enthalpy at 0 K: -0.38 eV per atom

```
data_Ga6Ni5Pd
_chemical_formula_sum 'Ga6 Ni5 Pd1'
_cell_length_a 7.228
_cell_length_b 4.160
_cell_length_c 6.598
_cell_angle_alpha 71.62
_cell_angle_beta 79.63
_cell_angle_gamma 55.19
_space_group_name_H-M_alt 'P 1'
_space_group_IT_number 1
loop_
_space_group_symop_operation_xyz
'x,y,z'
loop_
_atom_site_label
_atom_site_fract_x
_atom_site_fract_y
_atom_site_fract_z
_atom_site_occupancy
Ga1 0.255 0.916 0.657 1
Ga2 0.255 0.573 0.343 1
Ni1 0.500 0.500 0.000 1
Ga3 0.739 0.761 0.000 1
Pd1 0.000 0.000 0.000 1
Ni2 0.000 0.666 0.668 1
Ga4 0.745 0.084 0.343 1
Ni3 0.500 0.836 0.327 1
Ni4 0.500 0.164 0.673 1
Ga5 0.745 0.427 0.657 1
Ni5 0.000 0.334 0.332 1
Ga6 0.261 0.239 0.000 1
```

---

Entry 4:
This record from Alexandria via LeMat-Bulk describes a relaxed structure of Cs2Te2Pt. The functional is PBE.

Calculated values
total magnetization: 0.00 Bohr magnetons per cell
space group: I4_1/amd
E: -3.3668 eV/atom

```
data_Cs2Te2Pt
_chemical_formula_sum 'Cs4 Te4 Pt2'
_cell_length_a 4.934
_cell_length_b 4.934
_cell_length_c 18.473
_cell_angle_alpha 97.67
_cell_angle_beta 97.67
_cell_angle_gamma 90.00
_space_group_name_H-M_alt 'P 1'
_space_group_IT_number 1
loop_
_space_group_symop_operation_xyz
'x,y,z'
loop_
_atom_site_label
_atom_site_fract_x
_atom_site_fract_y
_atom_site_fract_z
_atom_site_occupancy
Pt1 0.500 0.500 0.000 1
Cs1 0.573 0.073 0.147 1
Te1 0.470 0.970 0.939 1
Te2 0.720 0.720 0.439 1
Cs2 0.927 0.427 0.853 1
Pt2 0.250 0.750 0.500 1
Cs3 0.823 0.823 0.647 1
Te3 0.030 0.530 0.061 1
Te4 0.280 0.280 0.561 1
Cs4 0.177 0.177 0.353 1
```

---

Entry 5:
This record from Alexandria via LeMat-Bulk describes a relaxed structure of Sr2LiInAu. The functional is PBE.

Calculated values
total magnetization: 0.00 Bohr magnetons per cell
space group: P4/mmm
formation enthalpy at 0 K: -0.01 eV per atom

```
data_Sr2LiInAu
_chemical_formula_sum 'Sr2 Li1 In1 Au1'
_cell_length_a 6.277
_cell_length_b 4.946
_cell_length_c 6.277
_cell_angle_alpha 90.00
_cell_angle_beta 90.00
_cell_angle_gamma 90.00
_space_group_name_H-M_alt 'P 1'
_space_group_IT_number 1
loop_
_space_group_symop_operation_xyz
'x,y,z'
loop_
_atom_site_label
_atom_site_fract_x
_atom_site_fract_y
_atom_site_fract_z
_atom_site_occupancy
Sr1 0.500 0.000 0.000 1
Sr2 0.000 0.000 0.500 1
Li1 0.000 0.500 0.000 1
Au1 0.500 0.500 0.500 1
In1 0.000 0.000 0.000 1
```

---

Entry 6:
This record from Alexandria via LeMat-Bulk describes a relaxed structure of BeTc2Os. The functional is PBE.

Calculated values
total magnetization: 0.00 Bohr magnetons per cell
space group: F-43m
formation enthalpy at 0 K: 0.13 eV per atom

```
data_BeTc2Os
_chemical_formula_sum 'Be1 Tc2 Os1'
_cell_length_a 4.228
_cell_length_b 4.228
_cell_length_c 4.228
_cell_angle_alpha 60.00
_cell_angle_beta 60.00
_cell_angle_gamma 60.00
_space_group_name_H-M_alt 'P 1'
_space_group_IT_number 1
loop_
_space_group_symop_operation_xyz
'x,y,z'
loop_
_atom_site_label
_atom_site_fract_x
_atom_site_fract_y
_atom_site_fract_z
_atom_site_occupancy
Tc1 0.250 0.250 0.250 1
Os1 0.750 0.750 0.750 1
Be1 0.500 0.500 0.500 1
Tc2 0.000 0.000 0.000 1
```

---

Entry 7:
This record from Alexandria via LeMat-Bulk describes a relaxed structure of TaTl3V2Te6. The functional is PBE.

Calculated values
total magnetization: 3.10 Bohr magnetons per cell
space group: C2/m
E: -4.9181 eV/atom

```
data_TaTl3V2Te6
_chemical_formula_sum 'Ta1 Tl3 V2 Te6'
_cell_length_a 6.706
_cell_length_b 6.706
_cell_length_c 11.027
_cell_angle_alpha 107.28
_cell_angle_beta 107.28
_cell_angle_gamma 120.63
_space_group_name_H-M_alt 'P 1'
_space_group_IT_number 1
loop_
_space_group_symop_operation_xyz
'x,y,z'
loop_
_atom_site_label
_atom_site_fract_x
_atom_site_fract_y
_atom_site_fract_z
_atom_site_occupancy
Te1 0.135 0.135 0.799 1
Te2 0.480 0.827 0.819 1
Te3 0.173 0.520 0.181 1
Te4 0.865 0.865 0.201 1
Tl1 0.824 0.176 0.500 1
Ta1 0.000 0.000 0.000 1
V1 0.647 0.353 0.000 1
Tl2 0.500 0.500 0.500 1
Tl3 0.176 0.824 0.500 1
Te5 0.520 0.173 0.181 1
V2 0.353 0.647 0.000 1
Te6 0.827 0.480 0.819 1
```

---

Entry 8:
This record from Alexandria via LeMat-Bulk describes a relaxed structure of RbNaMn2Br8. The functional is PBE.

Calculated values
total magnetization: 8.00 Bohr magnetons per cell
space group: P-3
E: -3.7641 eV/atom

```
data_RbNaMn2Br8
_chemical_formula_sum 'Rb1 Na1 Mn2 Br8'
_cell_length_a 7.002
_cell_length_b 7.002
_cell_length_c 10.023
_cell_angle_alpha 90.00
_cell_angle_beta 90.00
_cell_angle_gamma 120.00
_space_group_name_H-M_alt 'P 1'
_space_group_IT_number 1
loop_
_space_group_symop_operation_xyz
'x,y,z'
loop_
_atom_site_label
_atom_site_fract_x
_atom_site_fract_y
_atom_site_fract_z
_atom_site_occupancy
Br1 0.333 0.667 0.992 1
Br2 0.336 0.329 0.308 1
Mn1 0.333 0.667 0.756 1
Na1 0.000 0.000 0.500 1
Br3 0.993 0.664 0.308 1
Br4 0.667 0.333 0.008 1
Rb1 0.000 0.000 0.000 1
Br5 0.329 0.993 0.692 1
Br6 0.664 0.671 0.692 1
Mn2 0.667 0.333 0.244 1
Br7 0.671 0.007 0.308 1
Br8 0.007 0.336 0.692 1
```

---

Entry 9:
This record from Alexandria via LeMat-Bulk describes a relaxed structure of TlBiRuN. The functional is PBE.

Calculated values
relative energy among the computed polymorphs: 81 meV/atom
total magnetization: 0.00 Bohr magnetons per cell
space group: R3m

```
data_TlBiRuN
_chemical_formula_sum 'Tl3 Bi3 Ru3 N3'
_cell_length_a 3.273
_cell_length_b 3.273
_cell_length_c 26.887
_cell_angle_alpha 90.00
_cell_angle_beta 90.00
_cell_angle_gamma 120.00
_space_group_name_H-M_alt 'P 1'
_space_group_IT_number 1
loop_
_space_group_symop_operation_xyz
'x,y,z'
loop_
_atom_site_label
_atom_site_fract_x
_atom_site_fract_y
_atom_site_fract_z
_atom_site_occupancy
Ru1 0.000 0.000 0.621 1
Bi1 0.333 0.667 0.864 1
Bi2 0.000 0.000 0.198 1
Bi3 0.667 0.333 0.531 1
Ru2 0.333 0.667 0.287 1
Tl1 0.667 0.333 0.074 1
N1 0.000 0.000 0.310 1
Tl2 0.333 0.667 0.407 1
Tl3 0.000 0.000 0.740 1
N2 0.667 0.333 0.643 1
N3 0.333 0.667 0.977 1
Ru3 0.667 0.333 0.954 1
```

---

Entry 10:
This record from Alexandria via LeMat-Bulk describes a relaxed structure of Rb2TaRh. The functional is PBE.

Calculated values
relative energy among the computed polymorphs: 0 meV/atom
total magnetization: 4.28 Bohr magnetons per cell
space group: I-42d
formation enthalpy at 0 K: 1.14 eV per atom

```
data_Rb2TaRh
_chemical_formula_sum 'Rb4 Ta2 Rh2'
_cell_length_a 13.048
_cell_length_b 13.048
_cell_length_c 9.524
_cell_angle_alpha 46.76
_cell_angle_beta 46.76
_cell_angle_gamma 90.00
_space_group_name_H-M_alt 'P 1'
_space_group_IT_number 1
loop_
_space_group_symop_operation_xyz
'x,y,z'
loop_
_atom_site_label
_atom_site_fract_x
_atom_site_fract_y
_atom_site_fract_z
_atom_site_occupancy
Rb1 0.875 0.708 0.750 1
Rb2 0.458 0.125 0.250 1
Rb3 0.375 0.542 0.750 1
Ta1 0.000 0.000 0.000 1
Rh1 0.250 0.750 0.500 1
Rh2 0.500 0.500 0.000 1
Rb4 0.292 0.625 0.250 1
Ta2 0.750 0.250 0.500 1
```

---

Among the records above, which one has the highest total magnetization? RbNaMn2Br8

---

Look up the total magnetization of the second one. 0.00 Bohr magnetons per cell